# 1
Compound: LiNpSiTc
Source: Alexandria via LeMat-Bulk
Functional: GGA-PBE
Structure: relaxed

a = 4.503 Å, b = 4.503 Å, c = 4.503 Å
α = 60.00°, β = 60.00°, γ = 60.00°
Last column: magnetic moment on the atom in μB.
Fractional coordinates of all 4 atoms:
Np  0.000  0.000  0.000  3.38
Si  0.500  0.500  0.500  -0.02
Tc  0.250  0.250  0.250  -0.21
Li  0.750  0.750  0.750  0.03

Calculated values
- SG: F-43m
- Total DFT energy (no corrections): -7.59 eV/atom
- Crystal system: cubic
- Density of states at the Fermi level: 7.440 states/eV per cell
- Magnetic moment: 0.829 μB per atom
- Formation energy from raw total energies: 69 meV per atom

# 2
Compound: LiSmNp2Te4
Source: Alexandria via LeMat-Bulk
Functional: GGA-PBE
Structure: relaxed

a = 4.383 Å, b = 7.675 Å, c = 7.605 Å
α = 109.63°, β = 90.00°, γ = 90.00°
Last column: magnetic moment on the atom in μB.
Fractional coordinates of all 8 atoms:
Li  0.500  0.500  0.000  0.00
Sm  0.000  0.000  0.000  0.02
Np  0.500  0.000  0.500  4.12
Np  0.000  0.500  0.500  -4.11
Te  0.500  0.257  0.247  0.02
Te  0.500  0.743  0.753  0.02
Te  0.000  0.258  0.759  -0.02
Te  0.000  0.742  0.241  -0.02

Calculated values
- SG: P2/m
- Total DFT energy (no corrections): -6.51 eV/atom
- Crystal system: monoclinic
- Density of states at the Fermi level: 25.215 states/eV per cell
- Magnetic moment: 0.000 μB per atom
- Formation energy from raw total energies: -876 meV per atom

# 3
Compound: Li4Sm3NpTe8
Source: Alexandria via LeMat-Bulk
Functional: GGA-PBE
Structure: relaxed

a = 8.831 Å, b = 8.714 Å, c = 8.831 Å
α = 120.45°, β = 120.00°, γ = 90.00°
Last column: magnetic moment on the atom in μB.
Fractional coordinates of all 16 atoms:
Li  0.500  0.000  0.000  0.00
Li  0.500  0.000  0.500  0.00
Li  0.000  0.000  0.000  0.00
Li  0.000  0.000  0.500  0.00
Sm  0.500  0.500  0.000  0.02
Sm  0.500  0.500  0.500  0.02
Sm  0.000  0.500  0.500  0.02
Np  0.000  0.500  0.000  3.94
Te  0.253  0.759  0.006  -0.03
Te  0.253  0.759  0.506  -0.03
Te  0.247  0.240  0.493  0.00
Te  0.754  0.759  0.006  -0.03
Te  0.246  0.241  0.994  -0.03
Te  0.753  0.760  0.507  0.00
Te  0.747  0.241  0.494  -0.03
Te  0.747  0.241  0.994  -0.03

Calculated values
- SG: R-3m
- Total DFT energy (no corrections): -4.91 eV/atom
- Crystal system: trigonal
- Density of states at the Fermi level: 8.134 states/eV per cell
- Magnetic moment: 0.250 μB per atom
- Formation energy from raw total energies: -1164 meV per atom

# 4
Compound: LiSmNp2Te5
Source: Alexandria via LeMat-Bulk
Functional: GGA-PBE
Structure: relaxed

a = 4.378 Å, b = 9.577 Å, c = 13.168 Å
α = 90.00°, β = 90.00°, γ = 103.21°
Last column: magnetic moment on the atom in μB.
Fractional coordinates of all 18 atoms:
Li  0.556  0.111  0.962  0.00
Li  0.444  0.889  0.462  0.00
Sm  0.801  0.601  0.508  0.02
Sm  0.199  0.399  0.008  0.02
Np  0.876  0.751  0.803  4.03
Np  0.108  0.216  0.682  -4.00
Np  0.124  0.249  0.303  4.03
Np  0.892  0.784  0.182  -4.00
Te  0.366  0.732  0.000  0.01
Te  0.686  0.372  0.840  0.01
Te  0.498  0.996  0.778  -0.01
Te  0.285  0.571  0.675  -0.01
Te  0.955  0.909  0.575  0.00
Te  0.634  0.268  0.500  0.01
Te  0.314  0.628  0.340  0.01
Te  0.502  0.004  0.278  -0.01
Te  0.715  0.429  0.175  -0.01
Te  0.045  0.091  0.075  0.00

Calculated values
- SG: Cmc2_1
- Total DFT energy (no corrections): -6.21 eV/atom
- Crystal system: orthorhombic
- Density of states at the Fermi level: 27.109 states/eV per cell
- Magnetic moment: 0.008 μB per atom
- Formation energy from raw total energies: -852 meV per atom

# 5
Compound: Li3SmNp2Te6
Source: Alexandria via LeMat-Bulk
Functional: GGA-PBE
Structure: relaxed

a = 7.611 Å, b = 7.611 Å, c = 7.498 Å
α = 99.73°, β = 99.73°, γ = 119.99°
Last column: magnetic moment on the atom in μB.
Fractional coordinates of all 12 atoms:
Li  0.165  0.835  0.500  0.00
Li  0.835  0.165  0.500  0.00
Li  0.500  0.500  0.500  0.00
Sm  0.000  0.000  0.000  0.06
Np  0.333  0.667  0.000  3.98
Np  0.667  0.333  0.000  3.98
Te  0.914  0.578  0.741  -0.06
Te  0.751  0.751  0.260  -0.06
Te  0.086  0.422  0.259  -0.06
Te  0.578  0.914  0.741  -0.06
Te  0.249  0.249  0.740  -0.06
Te  0.422  0.086  0.259  -0.06

Calculated values
- SG: C2/m
- Total DFT energy (no corrections): -5.55 eV/atom
- Crystal system: monoclinic
- Density of states at the Fermi level: 21.369 states/eV per cell
- Magnetic moment: 0.667 μB per atom
- Formation energy from raw total energies: -952 meV per atom

# 6
Compound: Li3Sm2NpTe6
Source: Alexandria via LeMat-Bulk
Functional: GGA-PBE
Structure: relaxed

a = 7.641 Å, b = 7.641 Å, c = 7.513 Å
α = 99.74°, β = 99.74°, γ = 119.91°
Last column: magnetic moment on the atom in μB.
Fractional coordinates of all 12 atoms:
Li  0.169  0.831  0.500  0.00
Li  0.831  0.169  0.500  0.00
Li  0.500  0.500  0.500  0.00
Sm  0.334  0.666  0.000  0.03
Sm  0.666  0.334  0.000  0.03
Np  0.000  0.000  0.000  3.95
Te  0.913  0.581  0.740  -0.03
Te  0.754  0.754  0.260  -0.03
Te  0.087  0.419  0.260  -0.03
Te  0.581  0.913  0.740  -0.03
Te  0.246  0.246  0.740  -0.03
Te  0.419  0.087  0.260  -0.03

Calculated values
- SG: C2/m
- Total DFT energy (no corrections): -5.04 eV/atom
- Crystal system: monoclinic
- Density of states at the Fermi level: 6.526 states/eV per cell
- Magnetic moment: 0.334 μB per atom
- Formation energy from raw total energies: -1121 meV per atom